Entry 1:
# BaNaAs2Br | Alexandria via LeMat-Bulk | meta-GGA SCAN | PBEsol geometry
data_BaNaAs2Br
_chemical_formula_sum 'Ba1 Na1 As2 Br1'
_symmetry_space_group_name_H-M 'P 4/m m m'
_symmetry_Int_Tables_number 123
_symmetry_space_group_name_Hall '-P 4 2'
_cell_length_a 5.893
_cell_length_b 5.893
_cell_length_c 6.158
_cell_angle_alpha 90.00
_cell_angle_beta 90.00
_cell_angle_gamma 90.00
loop_
_atom_site_label
_atom_site_fract_x
_atom_site_fract_y
_atom_site_fract_z
Ba1 0.000 0.000 0.000
Na1 0.500 0.500 0.500
As1 0.000 0.500 0.000
Br1 0.000 0.000 0.500
# volume = 214 Å³ per cell
# ΔE_f (raw) = -2 kJ per mole of atoms

=====

Entry 2:
# NiSe2 | Alexandria via LeMat-Bulk | meta-GGA SCAN | PBEsol geometry
data_NiSe2
_chemical_formula_sum 'Ni1 Se2'
_symmetry_space_group_name_H-M 'P 4/m m m'
_symmetry_Int_Tables_number 123
_symmetry_space_group_name_Hall '-P 4 2'
_cell_length_a 4.311
_cell_length_b 4.311
_cell_length_c 2.812
_cell_angle_alpha 90.00
_cell_angle_beta 90.00
_cell_angle_gamma 90.00
loop_
_atom_site_label
_atom_site_fract_x
_atom_site_fract_y
_atom_site_fract_z
Ni1 0.000 0.000 0.000
Se1 0.000 0.500 0.500
# volume = 52 Å³ per cell
# ΔE_f (raw) = 26 kJ per mole of atoms

=====

Entry 3:
# MgPbBr2 | Alexandria via LeMat-Bulk | meta-GGA SCAN | PBEsol geometry
data_MgPbBr2
_chemical_formula_sum 'Mg4 Pb4 Br8'
_symmetry_space_group_name_H-M 'I -4 2 d'
_symmetry_Int_Tables_number 122
_symmetry_space_group_name_Hall 'I -4 2bw'
_cell_length_a 8.050
_cell_length_b 8.050
_cell_length_c 6.755
_cell_angle_alpha 90.00
_cell_angle_beta 90.00
_cell_angle_gamma 90.00
loop_
_atom_site_label
_atom_site_fract_x
_atom_site_fract_y
_atom_site_fract_z
Mg1 0.000 0.000 0.000
Pb1 0.000 0.000 0.500
Br1 0.204 0.750 0.125
# volume = 438 Å³ per cell
# ΔE to the lowest computed polymorph = 0.0319 eV/atom
# ΔE_f (raw) = -59 kJ per mole of atoms

=====

Entry 4:
# CsErSiS4 | Alexandria via LeMat-Bulk | meta-GGA SCAN | PBEsol geometry
data_CsErSiS4
_chemical_formula_sum 'Cs4 Er4 Si4 S16'
_symmetry_space_group_name_H-M 'P 21 21 21'
_symmetry_Int_Tables_number 19
_cell_length_a 6.257
_cell_length_b 6.571
_cell_length_c 17.495
_cell_angle_alpha 90.00
_cell_angle_beta 90.00
_cell_angle_gamma 90.00
loop_
_symmetry_equiv_pos_as_xyz
'x,y,z'
'-x+1/2,-y,z+1/2'
'x+1/2,-y+1/2,-z'
'-x,y+1/2,-z+1/2'
loop_
_atom_site_label
_atom_site_fract_x
_atom_site_fract_y
_atom_site_fract_z
Cs1 0.014 0.008 0.469
Er1 0.208 0.021 0.728
Si1 0.209 0.517 0.331
S1 0.059 0.013 0.096
S2 0.062 0.249 0.852
S3 0.101 0.751 0.843
S4 0.104 0.578 0.218
# volume = 719 Å³ per cell
# ΔE_f (raw) = -159 kJ per mole of atoms

=====

Entry 5:
# AlCu2Te | Alexandria via LeMat-Bulk | meta-GGA SCAN | PBEsol geometry
data_AlCu2Te
_chemical_formula_sum 'Al2 Cu4 Te2'
_symmetry_space_group_name_H-M 'I m m 2'
_symmetry_Int_Tables_number 44
_cell_length_a 3.094
_cell_length_b 3.892
_cell_length_c 11.428
_cell_angle_alpha 90.00
_cell_angle_beta 90.00
_cell_angle_gamma 90.00
loop_
_symmetry_equiv_pos_as_xyz
'x,y,z'
'-x,-y,z'
'-x,y,z'
'x,-y,z'
'x+1/2,y+1/2,z+1/2'
'-x+1/2,-y+1/2,z+1/2'
'-x+1/2,y+1/2,z+1/2'
'x+1/2,-y+1/2,z+1/2'
loop_
_atom_site_label
_atom_site_fract_x
_atom_site_fract_y
_atom_site_fract_z
Al1 0.000 0.000 0.000
Cu1 0.000 0.000 0.532
Cu2 0.000 0.500 0.856
Te1 0.000 0.500 0.234
# volume = 138 Å³ per cell
# ΔE_f (raw) = 10 kJ per mole of atoms

=====

Entry 6:
# ScAlTl2 | Alexandria via LeMat-Bulk | meta-GGA SCAN | PBEsol geometry
data_ScAlTl2
_chemical_formula_sum 'Sc2 Al2 Tl4'
_symmetry_space_group_name_H-M 'I -4 m 2'
_symmetry_Int_Tables_number 119
_symmetry_space_group_name_Hall 'I -4 -2'
_cell_length_a 4.229
_cell_length_b 4.229
_cell_length_c 9.706
_cell_angle_alpha 90.00
_cell_angle_beta 90.00
_cell_angle_gamma 90.00
loop_
_atom_site_label
_atom_site_fract_x
_atom_site_fract_y
_atom_site_fract_z
Sc1 0.000 0.000 0.000
Al1 0.000 0.500 0.750
Tl1 0.000 0.000 0.500
Tl2 0.000 0.500 0.250
# volume = 174 Å³ per cell
# ΔE to the lowest computed polymorph = 0.0000 eV/atom
# ΔE_f = -0.7 eV per formula unit

=====

Entry 7:
# CaTaAg2 | Alexandria via LeMat-Bulk | meta-GGA SCAN | PBEsol geometry
data_CaTaAg2
_chemical_formula_sum 'Ca2 Ta2 Ag4'
_symmetry_space_group_name_H-M 'C 1 2/m 1'
_symmetry_Int_Tables_number 12
_cell_length_a 9.233
_cell_length_b 2.842
_cell_length_c 6.267
_cell_angle_alpha 90.00
_cell_angle_beta 96.03
_cell_angle_gamma 90.00
loop_
_symmetry_equiv_pos_as_xyz
'x,y,z'
'-x,-y,-z'
'-x,y,-z'
'x,-y,z'
'x+1/2,y+1/2,z'
'-x+1/2,-y+1/2,-z'
'-x+1/2,y+1/2,-z'
'x+1/2,-y+1/2,z'
loop_
_atom_site_label
_atom_site_fract_x
_atom_site_fract_y
_atom_site_fract_z
Ca1 0.000 0.000 0.000
Ta1 0.000 0.500 0.500
Ag1 0.245 0.000 0.702
# volume = 164 Å³ per cell
# ΔE to the lowest computed polymorph = 0.1433 eV/atom
# ΔE_f = 1.7 eV per formula unit

=====

Entry 8:
# AlPRuCl2 | Alexandria via LeMat-Bulk | meta-GGA SCAN | PBEsol geometry
data_AlPRuCl2
_chemical_formula_sum 'Al1 P1 Ru1 Cl2'
_symmetry_space_group_name_H-M 'P 4/m m m'
_symmetry_Int_Tables_number 123
_symmetry_space_group_name_Hall '-P 4 2'
_cell_length_a 4.410
_cell_length_b 4.410
_cell_length_c 4.980
_cell_angle_alpha 90.00
_cell_angle_beta 90.00
_cell_angle_gamma 90.00
loop_
_atom_site_label
_atom_site_fract_x
_atom_site_fract_y
_atom_site_fract_z
Al1 0.000 0.000 0.000
P1 0.000 0.000 0.500
Ru1 0.500 0.500 0.500
Cl1 0.000 0.500 0.000
# volume = 97 Å³ per cell
# ΔE_f (raw) = 33 kJ per mole of atoms

=====

Entry 9:
# Li3Y4Ti4S4O10 | Alexandria via LeMat-Bulk | meta-GGA SCAN | PBEsol geometry
data_Li3Y4Ti4S4O10
_chemical_formula_sum 'Li6 Y8 Ti8 S8 O20'
_symmetry_space_group_name_H-M 'C 1 2/m 1'
_symmetry_Int_Tables_number 12
_cell_length_a 5.553
_cell_length_b 21.557
_cell_length_c 5.553
_cell_angle_alpha 90.00
_cell_angle_beta 90.13
_cell_angle_gamma 90.00
loop_
_symmetry_equiv_pos_as_xyz
'x,y,z'
'-x,-y,-z'
'-x,y,-z'
'x,-y,z'
'x+1/2,y+1/2,z'
'-x+1/2,-y+1/2,-z'
'-x+1/2,y+1/2,-z'
'x+1/2,-y+1/2,z'
loop_
_atom_site_label
_atom_site_fract_x
_atom_site_fract_y
_atom_site_fract_z
Li1 0.000 0.000 0.000
Li2 0.000 0.000 0.500
Li3 0.000 0.500 0.000
Y1 0.249 0.163 0.751
Ti1 0.246 0.410 0.746
S1 0.247 0.206 0.248
O1 0.000 0.094 0.500
O2 0.000 0.096 0.000
O3 0.000 0.399 0.500
O4 0.000 0.406 0.000
O5 0.242 0.000 0.241
# volume = 665 Å³ per cell
# ΔE_f (raw) = -282 kJ per mole of atoms

=====

Entry 10:
# NiIr2Rh | Alexandria via LeMat-Bulk | meta-GGA SCAN | PBEsol geometry
data_NiIr2Rh
_chemical_formula_sum 'Ni1 Ir2 Rh1'
_symmetry_space_group_name_H-M 'P 4 m m'
_symmetry_Int_Tables_number 99
_cell_length_a 2.685
_cell_length_b 2.685
_cell_length_c 7.251
_cell_angle_alpha 90.00
_cell_angle_beta 90.00
_cell_angle_gamma 90.00
loop_
_symmetry_equiv_pos_as_xyz
'x,y,z'
'-y,x,z'
'-x,-y,z'
'y,-x,z'
'-x,y,z'
'y,x,z'
'x,-y,z'
'-y,-x,z'
loop_
_atom_site_label
_atom_site_fract_x
_atom_site_fract_y
_atom_site_fract_z
Ni1 0.000 0.000 0.000
Ir1 0.000 0.000 0.501
Ir2 0.500 0.500 0.762
Rh1 0.500 0.500 0.241
# volume = 52 Å³ per cell
# ΔE_f = 0.1 eV per formula unit

=====

Entry 11:
# MnNb4S8 | Alexandria via LeMat-Bulk | meta-GGA SCAN | PBEsol geometry
data_MnNb4S8
_chemical_formula_sum 'Mn2 Nb8 S16'
_symmetry_space_group_name_H-M 'P 63/m m c'
_symmetry_Int_Tables_number 194
_symmetry_space_group_name_Hall '-P 6c 2c'
_cell_length_a 6.6189
_cell_length_b 6.6189
_cell_length_c 11.8082
_cell_angle_alpha 90.00
_cell_angle_beta 90.00
_cell_angle_gamma 120.00
loop_
_atom_site_label
_atom_site_fract_x
_atom_site_fract_y
_atom_site_fract_z
Mn1 0.0000 0.0000 0.0000
Nb1 0.0000 0.0000 0.2500
Nb2 0.0125 0.5062 0.2500
S1 0.1678 0.3356 0.6181
S2 0.3333 0.6667 0.1134
# volume = 448 Å³ per cell
# ΔE_f (raw) = -119 kJ per mole of atoms

=====

Entry 12:
# FeNi | Alexandria via LeMat-Bulk | meta-GGA SCAN | PBEsol geometry
data_FeNi
_chemical_formula_sum 'Fe4 Ni4'
_symmetry_space_group_name_H-M 'C 1 2/m 1'
_symmetry_Int_Tables_number 12
_cell_length_a 9.177
_cell_length_b 2.463
_cell_length_c 4.308
_cell_angle_alpha 90.00
_cell_angle_beta 117.95
_cell_angle_gamma 90.00
loop_
_symmetry_equiv_pos_as_xyz
'x,y,z'
'-x,-y,-z'
'-x,y,-z'
'x,-y,z'
'x+1/2,y+1/2,z'
'-x+1/2,-y+1/2,-z'
'-x+1/2,y+1/2,-z'
'x+1/2,-y+1/2,z'
loop_
_atom_site_label
_atom_site_fract_x
_atom_site_fract_y
_atom_site_fract_z
Fe1 0.124 0.000 0.290
Ni1 0.125 0.500 0.793
# volume = 86 Å³ per cell
# ΔE_f = -0.1 eV per formula unit